(1)
# VZn2N3

A relaxed VZn2N3 crystal (GGA-PBE, the Alexandria database).

Unit cell a=5.292 b=5.555 c=5.555 alpha=60.69 beta=90.00 gamma=90.00
Positions (direct):
V: 0.461 0.162 0.838
V: 0.961 0.838 0.162
Zn: 0.973 0.169 0.498
Zn: 0.973 0.502 0.831
Zn: 0.473 0.831 0.502
Zn: 0.473 0.498 0.169
N: 0.360 0.167 0.529
N: 0.360 0.471 0.833
N: 0.860 0.833 0.471
N: 0.860 0.529 0.167
N: 0.817 0.145 0.855
N: 0.317 0.855 0.145

Summary:
ΔE_f (raw) in eV per atom: -0.40
Magnetic moment in μB/f.u.: 0.000

---

(2)
# V2ZnN

A relaxed V2ZnN crystal (GGA-PBE, the Alexandria database).

Unit cell a=4.024 b=4.024 c=4.024 alpha=60.00 beta=60.00 gamma=60.00
Positions (direct):
Zn: 0.500 0.500 0.500
V: 0.250 0.250 0.250
V: 0.750 0.750 0.750
N: 0.000 0.000 0.000

Summary:
ΔE_f (raw) in eV per atom: 0.72
Magnetic moment in μB/f.u.: 0.001

---

(3)
# VZn3N4

A relaxed VZn3N4 crystal (GGA-PBE, the Alexandria database).

Unit cell a=4.572 b=4.572 c=5.597 alpha=114.11 beta=114.11 gamma=90.00
Positions (direct):
Zn: 0.500 0.500 0.000
Zn: 0.750 0.250 0.500
Zn: 0.250 0.750 0.500
N: 0.346 0.346 0.231
N: 0.886 0.886 0.231
N: 0.114 0.654 0.769
N: 0.654 0.114 0.769
V: 0.000 0.000 0.000

Summary:
ΔE_f (raw) in eV per atom: -0.16
Magnetic moment in μB/f.u.: 0.001

---

(4)
# VZn2N

A relaxed VZn2N crystal (GGA-PBE, the Alexandria database).

Unit cell a=7.287 b=7.287 c=5.529 alpha=48.78 beta=48.78 gamma=90.00
Positions (direct):
Zn: 0.534 0.125 0.250
Zn: 0.216 0.625 0.250
Zn: 0.375 0.466 0.750
Zn: 0.875 0.784 0.750
V: 0.000 0.000 0.000
V: 0.750 0.250 0.500
N: 0.500 0.500 0.000
N: 0.250 0.750 0.500

Summary:
ΔE_f (raw) in eV per atom: 0.17
Magnetic moment in μB/f.u.: 1.832

---

(5)
# VZnN

A relaxed VZnN crystal (GGA-PBE, the Alexandria database).

Unit cell a=2.812 b=2.812 c=9.578 alpha=90.00 beta=90.00 gamma=90.00
Positions (direct):
V: 0.000 0.500 0.599
V: 0.500 0.000 0.401
N: 0.500 0.000 0.616
N: 0.000 0.500 0.384
Zn: 0.000 0.500 0.896
Zn: 0.500 0.000 0.104

Summary:
ΔE_f (raw) in eV per atom: -0.52
Magnetic moment in μB/f.u.: 0.000

---

(6)
# V2ZnN

A relaxed V2ZnN crystal (GGA-PBE, the Alexandria database).

Unit cell a=5.001 b=5.001 c=6.040 alpha=65.54 beta=65.54 gamma=90.00
Positions (direct):
Zn: 0.000 0.000 0.000
Zn: 0.750 0.250 0.500
V: 0.504 0.125 0.250
V: 0.246 0.625 0.250
V: 0.375 0.496 0.750
V: 0.875 0.754 0.750
N: 0.500 0.500 0.000
N: 0.250 0.750 0.500

Summary:
ΔE_f (raw) in eV per atom: 0.09
Magnetic moment in μB/f.u.: 0.002

---

(7)
# V12Zn5N3

A relaxed V12Zn5N3 crystal (GGA-PBE, the Alexandria database).

Unit cell a=11.984 b=11.984 c=11.984 alpha=109.47 beta=109.47 gamma=109.47
Positions (direct):
N: 0.750 0.375 0.125
N: 0.875 0.750 0.125
N: 0.375 0.750 0.625
N: 0.250 0.125 0.375
N: 0.875 0.125 0.250
N: 0.375 0.625 0.250
N: 0.625 0.375 0.750
N: 0.125 0.875 0.750
N: 0.750 0.875 0.625
N: 0.625 0.250 0.375
N: 0.125 0.250 0.875
N: 0.250 0.625 0.875
Zn: 0.125 0.375 0.250
Zn: 0.000 0.500 0.000
Zn: 0.000 0.000 0.000
Zn: 0.375 0.250 0.125
Zn: 0.500 0.000 0.500
Zn: 0.500 0.500 0.000
Zn: 0.125 0.750 0.375
Zn: 0.750 0.125 0.875
Zn: 0.750 0.625 0.375
Zn: 0.375 0.125 0.750
Zn: 0.625 0.875 0.250
Zn: 0.500 0.500 0.500
Zn: 0.500 0.000 0.000
Zn: 0.000 0.000 0.500
Zn: 0.250 0.375 0.625
Zn: 0.250 0.875 0.125
Zn: 0.000 0.500 0.500
Zn: 0.875 0.250 0.625
Zn: 0.625 0.750 0.875
Zn: 0.875 0.625 0.750
V: 0.764 0.143 0.107
V: 0.343 0.607 0.464
V: 0.893 0.357 0.236
V: 0.607 0.264 0.143
V: 0.621 0.764 0.657
V: 0.893 0.536 0.157
V: 0.343 0.736 0.379
V: 0.036 0.879 0.143
V: 0.536 0.893 0.657
V: 0.764 0.621 0.157
V: 0.736 0.393 0.357
V: 0.843 0.964 0.107
V: 0.143 0.764 0.607
V: 0.357 0.464 0.121
V: 0.121 0.964 0.357
V: 0.379 0.143 0.536
V: 0.121 0.157 0.264
V: 0.393 0.657 0.036
V: 0.843 0.879 0.236
V: 0.143 0.379 0.036
V: 0.357 0.893 0.736
V: 0.536 0.643 0.379
V: 0.964 0.843 0.607
V: 0.736 0.343 0.879
V: 0.464 0.357 0.621
V: 0.036 0.157 0.393
V: 0.264 0.657 0.121
V: 0.157 0.121 0.764
V: 0.643 0.107 0.264
V: 0.857 0.621 0.964
V: 0.607 0.343 0.964
V: 0.621 0.857 0.464
V: 0.879 0.843 0.736
V: 0.879 0.036 0.643
V: 0.857 0.236 0.393
V: 0.157 0.036 0.893
V: 0.643 0.536 0.879
V: 0.464 0.107 0.343
V: 0.236 0.379 0.843
V: 0.264 0.607 0.643
V: 0.964 0.121 0.857
V: 0.657 0.264 0.621
V: 0.393 0.736 0.857
V: 0.107 0.464 0.843
V: 0.379 0.236 0.343
V: 0.107 0.643 0.764
V: 0.657 0.393 0.536
V: 0.236 0.857 0.893

Summary:
ΔE_f (raw) in eV per atom: 0.57
Magnetic moment in μB/f.u.: 0.000

---

(8)
# VZnN2

A relaxed VZnN2 crystal (GGA-PBE, the Alexandria database).

Unit cell a=5.262 b=5.583 c=6.437 alpha=90.00 beta=90.00 gamma=90.00
Positions (direct):
V: 0.999 0.578 0.376
V: 0.499 0.422 0.624
V: 0.499 0.922 0.876
V: 0.999 0.078 0.124
Zn: 0.001 0.587 0.878
Zn: 0.501 0.413 0.122
Zn: 0.501 0.913 0.378
Zn: 0.001 0.087 0.622
N: 0.357 0.568 0.388
N: 0.857 0.432 0.612
N: 0.857 0.932 0.888
N: 0.357 0.068 0.112
N: 0.393 0.599 0.860
N: 0.893 0.401 0.140
N: 0.893 0.901 0.360
N: 0.393 0.099 0.640

Summary:
ΔE_f (raw) in eV per atom: -0.47
Magnetic moment in μB/f.u.: 1.002

---

(9)
# VZnN2

A relaxed VZnN2 crystal (GGA-PBE, the Alexandria database).

Unit cell a=2.931 b=2.931 c=5.399 alpha=74.25 beta=74.25 gamma=60.00
Positions (direct):
Zn: 0.000 0.000 0.000
N: 0.242 0.242 0.274
N: 0.758 0.758 0.726
V: 0.500 0.500 0.500

Summary:
ΔE_f (raw) in eV per atom: -0.32
Magnetic moment in μB/f.u.: 0.661

---

(10)
# VZnN2

A relaxed VZnN2 crystal (GGA-PBE, the Alexandria database).

Unit cell a=4.570 b=4.570 c=5.536 alpha=65.63 beta=65.63 gamma=90.00
Positions (direct):
Zn: 0.000 0.000 0.000
Zn: 0.750 0.250 0.500
V: 0.500 0.500 0.000
V: 0.250 0.750 0.500
N: 0.592 0.125 0.250
N: 0.158 0.625 0.250
N: 0.375 0.408 0.750
N: 0.875 0.842 0.750

Summary:
ΔE_f (raw) in eV per atom: -0.48
Magnetic moment in μB/f.u.: 0.930

---

(11)
# V3Zn2N

A relaxed V3Zn2N crystal (GGA-PBE, the Alexandria database).

Unit cell a=6.580 b=6.580 c=6.580 alpha=90.00 beta=90.00 gamma=90.00
Positions (direct):
V: 0.787 0.963 0.375
V: 0.713 0.037 0.875
V: 0.213 0.463 0.125
V: 0.287 0.537 0.625
V: 0.963 0.375 0.787
V: 0.037 0.875 0.713
V: 0.463 0.125 0.213
V: 0.537 0.625 0.287
V: 0.375 0.787 0.963
V: 0.875 0.713 0.037
V: 0.125 0.213 0.463
V: 0.625 0.287 0.537
Zn: 0.177 0.823 0.323
Zn: 0.323 0.177 0.823
Zn: 0.823 0.323 0.177
Zn: 0.677 0.677 0.677
Zn: 0.573 0.427 0.927
Zn: 0.427 0.927 0.573
Zn: 0.927 0.573 0.427
Zn: 0.073 0.073 0.073
N: 0.875 0.125 0.625
N: 0.625 0.875 0.125
N: 0.125 0.625 0.875
N: 0.375 0.375 0.375

Summary:
ΔE_f (raw) in eV per atom: -0.55
Magnetic moment in μB/f.u.: 0.000

---

(12)
# Zr2VZnN

A relaxed Zr2VZnN crystal (GGA-PBE, the Alexandria database).

Unit cell a=4.550 b=4.550 c=3.832 alpha=90.00 beta=90.00 gamma=90.00
Positions (direct):
Zn: 0.500 0.500 0.500
N: 0.000 0.000 0.000
Zr: 0.000 0.500 0.000
Zr: 0.500 0.000 0.000
V: 0.000 0.000 0.500

Summary:
ΔE_f (raw) in eV per atom: -0.76
Magnetic moment in μB/f.u.: 0.000